Arrangement one

RbZrPb3 | PBE | relaxed

Lattice parameters (Å, degrees): 5.8399 5.8399 5.8399 90.00 90.00 90.00
Atoms (fractional coordinates):
Rb (0.0000, 0.0000, 0.0000)
Pb (0.0000, 0.5000, 0.0000)
Pb (0.0000, 0.0000, 0.5000)
Pb (0.5000, 0.0000, 0.0000)
Zr (0.5000, 0.5000, 0.5000)

## Properties
**D(E_F)**: 7.45 states/eV/f.u.
**Crystal system**: cubic
**Symmetry**: Pm-3m
**Size of the total moment**: 0.000 μB per atom
**Calculated density**: 6.66 Mg/m³

---

Arrangement two

RbZrPb3 | PBE | relaxed

Lattice parameters (Å, degrees): 5.7637 5.7637 5.7637 90.00 90.00 90.00
Atoms (fractional coordinates):
Pb (0.0000, 0.5000, 0.0000)
Pb (0.0000, 0.0000, 0.5000)
Pb (0.5000, 0.0000, 0.0000)
Rb (0.5000, 0.5000, 0.5000)
Zr (0.0000, 0.0000, 0.0000)

## Properties
**D(E_F)**: 2.99 states/eV/f.u.
**Crystal system**: cubic
**Symmetry**: Pm-3m
**Size of the total moment**: 0.000 μB per atom
**Calculated density**: 6.92 Mg/m³

---

It is arrangement two that is most stable; the runner-up trails by 1526 meV per atom.

---

Arrangement one

Rb2Zr2Pb | PBE | relaxed

Lattice parameters (Å, degrees): 10.9736 10.9736 3.1507 90.00 90.00 90.00
Last column: magnetic moment on the atom in μB.
Atoms (fractional coordinates):
Pb (0.5000, 0.5000, 0.0000)  -0.03
Pb (0.0000, 0.0000, 0.0000)  -0.03
Zr (0.1903, 0.6903, 0.5000)  0.74
Zr (0.3097, 0.1903, 0.5000)  0.76
Zr (0.8097, 0.3097, 0.5000)  0.74
Zr (0.6903, 0.8097, 0.5000)  0.76
Rb (0.3865, 0.8865, 0.0000)  0.06
Rb (0.8865, 0.6135, 0.0000)  0.06
Rb (0.1135, 0.3865, 0.0000)  0.06
Rb (0.6135, 0.1135, 0.0000)  0.06

## Properties
**D(E_F)**: 9.87 states/eV/f.u.
**Crystal system**: tetragonal
**Symmetry**: P4/mbm
**Size of the total moment**: 0.584 μB per atom
**Calculated density**: 4.91 Mg/m³

---

Arrangement two

Rb2Zr2Pb | PBE | relaxed

Lattice parameters (Å, degrees): 3.9510 3.9510 13.3782 81.51 81.51 90.00
Last column: magnetic moment on the atom in μB.
Atoms (fractional coordinates):
Rb (0.6080, 0.6080, 0.7841)  0.02
Rb (0.3920, 0.3920, 0.2159)  0.02
Pb (0.0000, 0.0000, 0.0000)  0.19
Zr (0.2500, 0.7500, 0.5000)  0.02
Zr (0.7500, 0.2500, 0.5000)  0.02

## Properties
**D(E_F)**: 5.04 states/eV/f.u.
**Crystal system**: tetragonal
**Symmetry**: I4/mmm
**Size of the total moment**: 0.179 μB per atom
**Calculated density**: 4.56 Mg/m³

---

It is arrangement two that is most stable; the runner-up trails by 795 meV per atom.

---

Arrangement one

RePb | PBE | relaxed

Lattice parameters (Å, degrees): 4.3362 3.9643 5.4472 68.70 90.00 90.00
Atoms (fractional coordinates):
Re (0.2500, 0.9409, 0.1188)
Re (0.7500, 0.0591, 0.8812)
Pb (0.7500, 0.3461, 0.3077)
Pb (0.2500, 0.6539, 0.6923)

## Properties
**D(E_F)**: 1.98 states/eV/f.u.
**Crystal system**: orthorhombic
**Symmetry**: Cmcm
**Size of the total moment**: 0.000 μB per atom
**Calculated density**: 14.98 Mg/m³

---

Arrangement two

RePb | PBE | relaxed

Lattice parameters (Å, degrees): 6.9521 6.5336 7.7116 90.00 90.00 90.00
Atoms (fractional coordinates):
Re (0.1948, 0.6997, 0.6816)
Re (0.5916, 0.0895, 0.1005)
Re (0.4084, 0.5895, 0.3995)
Re (0.3052, 0.3003, 0.1816)
Re (0.6948, 0.8003, 0.3184)
Re (0.9084, 0.9105, 0.6005)
Re (0.0916, 0.4105, 0.8995)
Re (0.8052, 0.1997, 0.8184)
Pb (0.0660, 0.3333, 0.5215)
Pb (0.4340, 0.6667, 0.0215)
Pb (0.1591, 0.9119, 0.3145)
Pb (0.3409, 0.0881, 0.8145)
Pb (0.9340, 0.8333, 0.9785)
Pb (0.6591, 0.5881, 0.6855)
Pb (0.8409, 0.4119, 0.1855)
Pb (0.5660, 0.1667, 0.4785)

## Properties
**D(E_F)**: 1.49 states/eV/f.u.
**Crystal system**: orthorhombic
**Symmetry**: P2_12_12_1
**Size of the total moment**: 0.000 μB per atom
**Calculated density**: 14.92 Mg/m³

---

It is arrangement two that is most stable; the runner-up trails by 103 meV per atom.

---

Arrangement one

Re3Pb2 | PBE | relaxed

Lattice parameters (Å, degrees): 3.0379 3.0379 11.7046 90.00 90.00 120.00
Atoms (fractional coordinates):
Re (0.0000, 0.0000, 0.0000)
Re (0.3333, 0.6667, 0.4172)
Re (0.6667, 0.3333, 0.5828)
Pb (0.3333, 0.6667, 0.7960)
Pb (0.6667, 0.3333, 0.2040)

## Properties
**D(E_F)**: 5.05 states/eV/f.u.
**Crystal system**: trigonal
**Symmetry**: P-3m1
**Size of the total moment**: 0.000 μB per atom
**Calculated density**: 17.27 Mg/m³

---

Arrangement two

Re3Pb2 | PBE | relaxed

Lattice parameters (Å, degrees): 9.4104 8.8595 5.2025 79.37 67.71 32.91
Atoms (fractional coordinates):
Re (0.4125, 0.8255, 0.5301)
Re (0.4245, 0.8375, 0.0181)
Re (0.0835, 0.9165, 0.9165)
Re (0.7199, 0.0181, 0.8375)
Re (0.2319, 0.5301, 0.8255)
Re (0.3335, 0.1665, 0.1665)
Pb (0.8490, 0.2369, 0.4910)
Pb (0.0131, 0.4010, 0.8269)
Pb (0.4231, 0.4910, 0.2369)
Pb (0.7590, 0.8269, 0.4010)

## Properties
**D(E_F)**: 3.91 states/eV/f.u.
**Crystal system**: orthorhombic
**Symmetry**: Fdd2
**Size of the total moment**: 0.000 μB per atom
**Calculated density**: 15.37 Mg/m³

---

It is arrangement two that is most stable; the runner-up trails by 108 meV per atom.

---

Arrangement one

RePb5 | PBE | relaxed

Lattice parameters (Å, degrees): 6.1425 6.1425 6.0584 90.00 90.00 120.00
Last column: magnetic moment on the atom in μB.
Atoms (fractional coordinates):
Pb (0.3333, 0.6667, 0.0000)  -0.02
Pb (0.0000, 0.5000, 0.5000)  0.00
Pb (0.5000, 0.5000, 0.5000)  0.00
Pb (0.5000, 0.0000, 0.5000)  0.00
Pb (0.6667, 0.3333, 0.0000)  -0.02
Re (0.0000, 0.0000, 0.0000)  3.40

## Properties
**D(E_F)**: 4.82 states/eV/f.u.
**Crystal system**: hexagonal
**Symmetry**: P6/mmm
**Size of the total moment**: 0.670 μB per atom
**Calculated density**: 10.25 Mg/m³

---

Arrangement two

RePb5 | PBE | relaxed

Lattice parameters (Å, degrees): 7.0894 7.0894 5.0410 90.00 90.00 139.12
Last column: magnetic moment on the atom in μB.
Atoms (fractional coordinates):
Pb (0.1433, 0.8567, 0.0000)  0.00
Pb (0.6495, 0.3505, 0.5000)  -0.02
Pb (0.0000, 0.0000, 0.5000)  0.00
Pb (0.3505, 0.6495, 0.5000)  -0.02
Pb (0.8567, 0.1433, 0.0000)  0.00
Re (0.5000, 0.5000, 0.0000)  1.20

## Properties
**D(E_F)**: 4.59 states/eV/f.u.
**Crystal system**: orthorhombic
**Symmetry**: Cmmm
**Size of the total moment**: 0.227 μB per atom
**Calculated density**: 12.24 Mg/m³

---

It is arrangement two that is most stable; the runner-up trails by 476 meV per atom.

---

Arrangement one

RePb5 | PBE | relaxed

Lattice parameters (Å, degrees): 6.3620 6.3620 6.3620 60.00 60.00 60.00
Last column: magnetic moment on the atom in μB.
Atoms (fractional coordinates):
Pb (0.1238, 0.6254, 0.6254)  -0.04
Pb (0.6254, 0.1238, 0.6254)  -0.04
Pb (0.2500, 0.2500, 0.2500)  -0.05
Pb (0.6254, 0.6254, 0.1238)  -0.04
Pb (0.6254, 0.6254, 0.6254)  -0.04
Re (0.0000, 0.0000, 0.0000)  2.99

## Properties
**D(E_F)**: 5.28 states/eV/f.u.
**Crystal system**: cubic
**Symmetry**: F-43m
**Size of the total moment**: 0.524 μB per atom
**Calculated density**: 11.15 Mg/m³

---

Arrangement two

RePb5 | PBE | relaxed

Lattice parameters (Å, degrees): 3.4411 3.4411 13.7100 90.00 90.00 90.00
Atoms (fractional coordinates):
Pb (0.5000, 0.5000, 0.6830)
Pb (0.5000, 0.5000, 0.3170)
Pb (0.0000, 0.0000, 0.1225)
Pb (0.0000, 0.0000, 0.8775)
Pb (0.0000, 0.0000, 0.5000)
Re (0.5000, 0.5000, 0.0000)

## Properties
**D(E_F)**: 3.66 states/eV/f.u.
**Crystal system**: tetragonal
**Symmetry**: P4/mmm
**Size of the total moment**: 0.000 μB per atom
**Calculated density**: 12.50 Mg/m³

---

It is arrangement two that is most stable; the runner-up trails by 577 meV per atom.

---

Arrangement one

Re5Pb | PBE | relaxed

Lattice parameters (Å, degrees): 6.3011 6.3011 4.0835 90.00 90.00 142.51
Last column: magnetic moment on the atom in μB.
Atoms (fractional coordinates):
Pb (0.5000, 0.5000, 0.0000)  0.00
Re (0.8184, 0.1816, 0.0000)  0.01
Re (0.1816, 0.8184, 0.0000)  0.01
Re (0.0000, 0.0000, 0.5000)  0.65
Re (0.6750, 0.3250, 0.5000)  0.06
Re (0.3250, 0.6750, 0.5000)  0.06

## Properties
**D(E_F)**: 6.56 states/eV/f.u.
**Crystal system**: orthorhombic
**Symmetry**: Cmmm
**Size of the total moment**: 0.148 μB per atom
**Calculated density**: 19.16 Mg/m³

---

Arrangement two

Re5Pb | PBE | relaxed

Lattice parameters (Å, degrees): 5.1327 5.1327 4.7012 90.00 90.00 120.00
Atoms (fractional coordinates):
Pb (0.0000, 0.0000, 0.0000)
Re (0.0000, 0.5000, 0.5000)
Re (0.5000, 0.0000, 0.5000)
Re (0.3333, 0.6667, 0.0000)
Re (0.6667, 0.3333, 0.0000)
Re (0.5000, 0.5000, 0.5000)

## Properties
**D(E_F)**: 4.26 states/eV/f.u.
**Crystal system**: hexagonal
**Symmetry**: P6/mmm
**Size of the total moment**: 0.000 μB per atom
**Calculated density**: 17.62 Mg/m³

---

It is arrangement one that is most stable; the runner-up trails by 136 meV per atom.

---

Arrangement one

Re5Pb | PBE | relaxed

Lattice parameters (Å, degrees): 7.6772 7.6772 4.4860 90.00 90.00 158.34
Atoms (fractional coordinates):
Re (0.1192, 0.8808, 0.5000)
Re (0.7768, 0.2232, 0.5000)
Re (0.6780, 0.3220, 0.0000)
Re (0.4315, 0.5685, 0.5000)
Re (0.3263, 0.6737, 0.0000)
Pb (0.0015, 0.9985, 0.0000)

## Properties
**D(E_F)**: 5.58 states/eV/f.u.
**Crystal system**: orthorhombic
**Symmetry**: Amm2
**Size of the total moment**: 0.000 μB per atom
**Calculated density**: 19.36 Mg/m³

---

Arrangement two

Re5Pb | PBE | relaxed

Lattice parameters (Å, degrees): 4.9004 4.9004 4.6190 90.00 90.00 120.00
Atoms (fractional coordinates):
Re (0.3333, 0.6667, 0.5000)
Re (0.0000, 0.6570, 0.0000)
Re (0.6667, 0.3333, 0.5000)
Re (0.6570, 0.0000, 0.0000)
Re (0.3430, 0.3430, 0.0000)
Pb (0.0000, 0.0000, 0.5000)

## Properties
**D(E_F)**: 3.35 states/eV/f.u.
**Crystal system**: hexagonal
**Symmetry**: P-62m
**Size of the total moment**: 0.000 μB per atom
**Calculated density**: 19.68 Mg/m³

---

It is arrangement one that is most stable; the runner-up trails by 59 meV per atom.